Record 1
First-principles (PBE) data for a relaxed structure of CeAlCdPd, as listed in Alexandria.

## Properties
Final energy, eV per atom: -4.354
ΔE_f, kJ per mole of atoms: -39.31

Lattice parameters (Å, degrees): 6.9423 6.9423 6.9423 90.00 90.00 90.00
Closest atoms and distances in Å follow each position.
Space group F-43m (No. 216)
Inequivalent atoms, fractional coordinates:
Ce (0.0000, 0.0000, 0.0000) (multiplicity 4)  4 Cd 3.01, 4 Pd 3.01
Al (0.0000, 0.0000, 0.5000) (multiplicity 4)  4 Cd 3.01, 4 Pd 3.01
Cd (0.2500, 0.2500, 0.7500) (multiplicity 4)  4 Ce 3.01, 4 Al 3.01
Pd (0.2500, 0.2500, 0.2500) (multiplicity 4)  4 Al 3.01, 4 Ce 3.01

Record 2
First-principles (PBE) data for a relaxed structure of CePmAlCd, as listed in Alexandria.

## Properties
Final energy, eV per atom: -4.081
ΔE_f, kJ per mole of atoms: -23.67

Lattice parameters (Å, degrees): 7.5305 7.5305 7.5305 90.00 90.00 90.00
Closest atoms and distances in Å follow each position.
Space group F-43m (No. 216)
Inequivalent atoms, fractional coordinates:
Ce (0.0000, 0.0000, 0.0000) (multiplicity 4)  4 Al 3.26, 4 Cd 3.26
Pm (0.0000, 0.0000, 0.5000) (multiplicity 4)  4 Cd 3.26, 4 Al 3.26
Al (0.2500, 0.2500, 0.2500) (multiplicity 4)  4 Ce 3.26, 4 Pm 3.26
Cd (0.2500, 0.2500, 0.7500) (multiplicity 4)  4 Ce 3.26, 4 Pm 3.26